Entry 1:
First-principles (PBE-GGA) data for TbErAu after structural relaxation, as listed in Alexandria.

Cell: 3.586 3.586 12.277 Å, 90.00 90.00 90.00°
Fractional positions:
Tb (0.000, 0.000, 0.000)
Tb (0.500, 0.500, 0.500)
Er (0.000, 0.000, 0.710)
Er (0.500, 0.500, 0.210)
Au (0.000, 0.000, 0.349)
Au (0.500, 0.500, 0.849)

## Properties
- energy relative to the elements (meV per atom) = -541.4
- calculated total energy (eV/cell) = -28.189
- offset from the most stable computed form (eV per formula unit) = 0.31
- space group = I4mm, No. 107
- D(E_F) (states/eV/atom) = 1.047

---

Entry 2:
First-principles (PBE-GGA) data for TbErAu after structural relaxation, as listed in Alexandria.

Cell: 8.025 8.025 8.025 Å, 36.20 36.20 36.20°
Fractional positions:
Tb (0.000, 0.000, 0.000)
Tb (0.162, 0.162, 0.162)
Er (0.580, 0.580, 0.580)
Er (0.742, 0.742, 0.742)
Au (0.295, 0.295, 0.295)
Au (0.446, 0.446, 0.446)

## Properties
- energy relative to the elements (meV per atom) = -469.7
- calculated total energy (eV/cell) = -27.759
- offset from the most stable computed form (eV per formula unit) = 0.53
- space group = R3m, No. 160
- D(E_F) (states/eV/atom) = 0.926

---

Entry 3:
First-principles (PBE-GGA) data for TbEr2Au after structural relaxation, as listed in Alexandria.

Cell: 3.583 3.583 8.507 Å, 90.00 90.00 90.00°
Fractional positions:
Tb (0.000, 0.000, 0.000)
Er (0.500, 0.500, 0.295)
Er (0.500, 0.500, 0.705)
Au (0.000, 0.000, 0.500)

## Properties
- energy relative to the elements (meV per atom) = -406.2
- calculated total energy (eV/cell) = -18.658
- offset from the most stable computed form (eV per formula unit) = 0.19
- space group = P4/mmm, No. 123
- D(E_F) (states/eV/atom) = 1.395

---

The lowest calculated total energy belongs to which entry?
number 1

---

Which value of D(E_F) does entry 1 give?
1.047 states/eV/atom

---

What is the offset from the most stable computed form in the first record?
0.31 eV per formula unit

---

The highest offset from the most stable computed form belongs to which entry?
number 2